! TlPRh PBE optimized geometry; values from VASP
! crystal system: cubic
! ΔE_f: 3.8 kcal/mol of atoms
! polymorph energy (0 for the lowest one): 0.5395 eV/atom
! total moment: 0.000 μB/f.u.
! symmetry: F-43m
&SYSTEM
  ibrav = 0, nat = 3, ntyp = 3
/
ATOMIC_SPECIES
Tl 204.38 Tl.upf
P 30.97 P.upf
Rh 102.91 Rh.upf
ATOMIC_POSITIONS crystal
Tl 0.0000 0.0000 0.0000
P 0.5000 0.5000 0.5000
Rh 0.7500 0.7500 0.7500
CELL_PARAMETERS angstrom
0.0000 3.0990 3.0990
3.0990 0.0000 3.0990
3.0990 3.0990 0.0000